Record 1
Crystalline AcScOs at its relaxed geometry, computed with PBE-GGA.

Lattice parameters (Å, degrees): 4.728 4.728 4.728 60.00 60.00 60.00
Sites, in units of the cell vectors:
Ac (0.250, 0.250, 0.250)
Os (0.750, 0.750, 0.750)
Sc (0.000, 0.000, 0.000)

Values from the calculation:
As for the symmetry: No. 216. The calculation puts the formation energy at 168 kJ/mol of formula units.



Record 2
Crystalline LaReAsO at its relaxed geometry, computed with PBE-GGA.

Lattice parameters (Å, degrees): 4.424 6.323 6.131 90.00 90.00 90.00
Sites, in units of the cell vectors:
As (0.000, 0.238, 0.428)
As (0.000, 0.762, 0.928)
La (0.000, 0.728, 0.430)
La (0.000, 0.272, 0.930)
O (0.500, 0.830, 0.356)
O (0.500, 0.170, 0.856)
Re (0.500, 0.904, 0.040)
Re (0.500, 0.096, 0.540)

Values from the calculation:
The energy relative to the lowest polymorph listed for this composition comes out at 684.3 meV/atom. As for the symmetry: No. 26.



Record 3
Crystalline BeAgSn at its relaxed geometry, computed with PBE-GGA.

Lattice parameters (Å, degrees): 4.249 4.249 4.249 60.00 60.00 60.00
Sites, in units of the cell vectors:
Ag (0.250, 0.250, 0.250)
Be (0.000, 0.000, 0.000)
Sn (0.750, 0.750, 0.750)

Values from the calculation:
The energy relative to the lowest polymorph listed for this composition comes out at 0.0 meV/atom. As for the symmetry: No. 216.



Record 4
Crystalline Sr2Pd3 at its relaxed geometry, computed with PBE-GGA.

Lattice parameters (Å, degrees): 4.512 4.512 8.047 90.00 90.00 120.00
Sites, in units of the cell vectors:
Pd (0.667, 0.333, 0.417)
Pd (0.000, 0.000, 0.500)
Pd (0.333, 0.667, 0.583)
Sr (0.333, 0.667, 0.215)
Sr (0.667, 0.333, 0.785)

Values from the calculation:
As for the symmetry: No. 164.



| no. | calculated total energy (eV per atom) |
| --- | --- |
| 1 | -6.64 |
| 2 | -7.70 |
| 3 | -3.35 |
| 4 | -4.21 |